Entry 1:
A plane-wave DFT calculation with GGA-PBE was carried out for crystalline Ce2TiN at its relaxed geometry.

The uncorrected formation energy is -0.375 eV per atom. Its magnetization is 4.148 Bohr magnetons per cell.

It has space group R-3m (No. 166, hexagonal axes), with a = 3.2731 Å, b = 3.2731 Å, c = 25.9364 Å, α = 90.00°, β = 90.00° and γ = 120.00°. The distinct sites, in fractional coordinates, are Ce at (0.0000, 0.0000, 0.1084), Ti at (0.0000, 0.0000, 0.0000) and N at (0.0000, 0.0000, 0.5000).

Entry 2:
A plane-wave DFT calculation with GGA-PBE was carried out for crystalline CaI3 at its relaxed geometry.

The uncorrected formation energy is -0.686 eV per atom. Its magnetization is 3.985 Bohr magnetons per cell.

It has space group Fm-3m (No. 225), with a = 8.3059 Å, b = 8.3059 Å, c = 8.3059 Å, α = 90.00°, β = 90.00° and γ = 90.00°. The distinct sites, in fractional coordinates, are Ca at (0.0000, 0.0000, 0.0000), I at (0.0000, 0.0000, 0.5000) and I at (0.2500, 0.2500, 0.2500).

Entry 3:
A plane-wave DFT calculation with GGA-PBE was carried out for crystalline LaBi2Pd7Pb2 at its relaxed geometry.

The formation energy comes out at -0.358 eV/atom. Its magnetization is 0.000 Bohr magnetons per cell.

It has space group C2/m (No. 12), with a = 5.8351 Å, b = 5.8141 Å, c = 16.0660 Å, α = 90.00°, β = 95.52° and γ = 90.00°. The distinct sites, in fractional coordinates, are La at (0.0000, 0.0000, 0.0000), Bi at (0.0681, 0.5000, 0.2525), Pd at (0.0000, 0.5000, 0.0000), Pd at (0.1288, 0.5000, 0.4298), Pd at (0.2122, 0.2500, 0.8628) and Pb at (0.1264, 0.0000, 0.4062).

Entry 4:
A plane-wave DFT calculation with GGA-PBE was carried out for crystalline Cd8PtRh2 at its relaxed geometry.

The formation energy comes out at -0.139 eV/atom. Its magnetization is 0.000 Bohr magnetons per cell.

It has space group Immm (No. 71), with a = 4.4489 Å, b = 7.3946 Å, c = 12.9145 Å, α = 90.00°, β = 90.00° and γ = 90.00°. The distinct sites, in fractional coordinates, are Cd at (0.0000, 0.0000, 0.1495), Cd at (0.0000, 0.2153, 0.3480), Cd at (0.0000, 0.3091, 0.0000), Pt at (0.0000, 0.5000, 0.5000) and Rh at (0.0000, 0.5000, 0.1988).

Entry 5:
A plane-wave DFT calculation with GGA-PBE was carried out for crystalline NiSb2Pb at its relaxed geometry.

The uncorrected formation energy is 0.104 eV per atom. Its magnetization is 0.000 Bohr magnetons per cell.

It has space group P4mm (No. 99), with a = 3.2378 Å, b = 3.2378 Å, c = 9.1897 Å, α = 90.00°, β = 90.00° and γ = 90.00°. The distinct sites, in fractional coordinates, are Ni at (0.0000, 0.0000, 0.0000), Sb at (0.0000, 0.0000, 0.5275), Sb at (0.5000, 0.5000, 0.8492) and Pb at (0.5000, 0.5000, 0.2188).

Entry 6:
A plane-wave DFT calculation with GGA-PBE was carried out for crystalline SrLiGe2Pt5 at its relaxed geometry.

The formation energy comes out at -0.511 eV/atom. Its magnetization is 0.000 Bohr magnetons per cell.

It has space group P4/mmm (No. 123), with a = 4.1347 Å, b = 4.1347 Å, c = 10.4745 Å, α = 90.00°, β = 90.00° and γ = 90.00°. The distinct sites, in fractional coordinates, are Sr at (0.0000, 0.0000, 0.0000), Li at (0.0000, 0.0000, 0.5000), Ge at (0.5000, 0.5000, 0.2313), Pt at (0.0000, 0.5000, 0.3578) and Pt at (0.5000, 0.5000, 0.0000).